Record 1
CaMgCo2 | GGA-PBE | optimized geometry

Computed properties:
E_form, eV/atom: 0.44
Space-group type: Cmmm, No. 65

Lattice parameters (Å, degrees): 4.3171 4.3171 3.6182 90.00 90.00 90.12
Closest atoms and distances in Å follow each position.
Sites, in units of the cell vectors:
Ca: 0.0000 0.5000 0.5000  8 Co 2.82, 4 Mg 3.05-3.06
Co: 0.5000 0.5000 0.0000  4 Mg 2.82, 4 Ca 2.82, 4 Co 3.05-3.06
Mg: 0.5000 0.0000 0.5000  8 Co 2.82, 4 Ca 3.05-3.06
Co: 0.0000 0.0000 0.0000  4 Ca 2.82, 4 Mg 2.82, 4 Co 3.05-3.06


Record 2
SbMoAs2W | GGA-PBE | optimized geometry

Computed properties:
Space-group type: P4/mmm, No. 123
E_form (uncorrected), eV per atom: 2.16

Lattice parameters (Å, degrees): 5.1743 5.0501 5.1743 90.00 90.00 90.00
Closest atoms and distances in Å follow each position.
Sites, in units of the cell vectors:
As: 0.0000 0.0000 0.5000  2 Sb 2.59
Mo: 0.5000 0.5000 0.5000  8 As 3.62, 4 W 3.66
Sb: 0.0000 0.0000 0.0000  2 W 2.53, 4 As 2.59
W: 0.0000 0.5000 0.0000  2 Sb 2.53
As: 0.5000 0.0000 0.0000  2 Sb 2.59


Record 3
Ni12H3Pt5 | GGA-PBE | optimized geometry

Computed properties:
Space-group type: Ia-3d, No. 230

Lattice parameters (Å, degrees): 11.1999 11.1999 11.1999 109.47 109.47 109.47
Closest atoms and distances in Å follow each position.
Sites, in units of the cell vectors:
Ni: 0.1593 0.0288 0.8996  1 H 1.77
Pt: 0.5000 0.5000 0.5000  6 Ni 2.40
Pt: 0.8750 0.6250 0.7500  4 Ni 2.47
Pt: 0.1250 0.3750 0.2500  4 Ni 2.47
Ni: 0.2403 0.3695 0.8407  1 H 1.77
Pt: 0.1250 0.7500 0.3750  4 Ni 2.47
Ni: 0.2403 0.8708 0.8996  1 H 1.77
Ni: 0.3996 0.6593 0.0288  1 H 1.77
Ni: 0.6004 0.3407 0.9712  1 H 1.77
Ni: 0.4712 0.3708 0.6305  1 H 1.77
Ni: 0.8407 0.9712 0.1004  1 H 1.77
Ni: 0.2597 0.6004 0.6292  1 H 1.77
Ni: 0.7403 0.3407 0.8695  1 H 1.77
H: 0.3750 0.6250 0.2500  4 Ni 1.77
Ni: 0.9712 0.1305 0.8708  1 H 1.77
Ni: 0.1305 0.9712 0.3708  1 H 1.77
Ni: 0.1004 0.4712 0.8407  1 H 1.77
Ni: 0.3708 0.4712 0.1305  1 H 1.77
Pt: 0.5000 0.5000 0.0000  6 Ni 2.40
Ni: 0.8695 0.0288 0.6292  1 H 1.77
Pt: 0.6250 0.8750 0.2500  4 Ni 2.47
H: 0.1250 0.2500 0.8750  4 Ni 1.77
Pt: 0.3750 0.1250 0.7500  4 Ni 2.47
Ni: 0.8695 0.8407 0.7403  1 H 1.77
Ni: 0.5288 0.8996 0.6593  1 H 1.77
Ni: 0.6305 0.8708 0.4712  1 H 1.77
Ni: 0.0288 0.8695 0.1292  1 H 1.77
Ni: 0.9712 0.8407 0.6004  1 H 1.77
Ni: 0.5288 0.6292 0.3695  1 H 1.77
Ni: 0.6593 0.3996 0.5288  1 H 1.77
Ni: 0.3695 0.1292 0.5288  1 H 1.77
H: 0.8750 0.7500 0.1250  4 Ni 1.77
Pt: 0.7500 0.6250 0.3750  4 Ni 2.47
Ni: 0.1292 0.3695 0.0288  1 H 1.77
Ni: 0.3407 0.6004 0.4712  1 H 1.77
Ni: 0.1292 0.7597 0.6004  1 H 1.77
Pt: 0.7500 0.1250 0.8750  4 Ni 2.47
H: 0.2500 0.6250 0.8750  4 Ni 1.77
Pt: 0.0000 0.0000 0.0000  6 Ni 2.40
Pt: 0.0000 0.5000 0.0000  6 Ni 2.40
Ni: 0.7597 0.1292 0.1004  1 H 1.77
Ni: 0.3407 0.7403 0.3695  1 H 1.77
Ni: 0.4712 0.1004 0.3407  1 H 1.77
Ni: 0.1593 0.1305 0.7597  1 H 1.77
Pt: 0.2500 0.8750 0.1250  4 Ni 2.47
Pt: 0.3750 0.2500 0.1250  4 Ni 2.47
H: 0.8750 0.1250 0.2500  4 Ni 1.77
Ni: 0.8708 0.6305 0.9712  1 H 1.77
Ni: 0.1305 0.1593 0.2597  1 H 1.77
Ni: 0.3996 0.7403 0.8708  1 H 1.77
H: 0.6250 0.2500 0.3750  4 Ni 1.77
Pt: 0.5000 0.0000 0.0000  6 Ni 2.40
Ni: 0.6004 0.2597 0.1292  1 H 1.77
Ni: 0.6593 0.2597 0.6305  1 H 1.77
Ni: 0.3695 0.2403 0.3407  1 H 1.77
Ni: 0.7597 0.6305 0.1593  1 H 1.77
Pt: 0.0000 0.0000 0.5000  6 Ni 2.40
Ni: 0.6292 0.1004 0.2597  1 H 1.77
H: 0.7500 0.3750 0.1250  4 Ni 1.77
Ni: 0.8996 0.3708 0.2403  1 H 1.77
Ni: 0.0288 0.1593 0.3996  1 H 1.77
Pt: 0.5000 0.0000 0.5000  6 Ni 2.40
Pt: 0.2500 0.3750 0.6250  4 Ni 2.47
Ni: 0.8708 0.2403 0.3996  1 H 1.77
Ni: 0.2597 0.6593 0.1305  1 H 1.77
Ni: 0.6292 0.5288 0.8695  1 H 1.77
H: 0.7500 0.8750 0.6250  4 Ni 1.77
H: 0.1250 0.8750 0.7500  4 Ni 1.77
Pt: 0.6250 0.7500 0.8750  4 Ni 2.47
Pt: 0.8750 0.2500 0.6250  4 Ni 2.47
Ni: 0.8996 0.5288 0.1593  1 H 1.77
H: 0.2500 0.1250 0.3750  4 Ni 1.77
Ni: 0.8407 0.8695 0.2403  1 H 1.77
Ni: 0.1004 0.6292 0.7597  1 H 1.77
H: 0.6250 0.3750 0.7500  4 Ni 1.77
Pt: 0.0000 0.5000 0.5000  6 Ni 2.40
Ni: 0.7403 0.3996 0.3708  1 H 1.77
Ni: 0.6305 0.7597 0.6593  1 H 1.77
Ni: 0.3708 0.8996 0.7403  1 H 1.77
H: 0.3750 0.7500 0.6250  4 Ni 1.77


Number 1: DFT total energy -4.012 eV/atom. Number 2: DFT total energy -5.278 eV/atom. Number 3: DFT total energy -4.909 eV/atom.